Below is crystalline Li2CaZn2 at its relaxed geometry, with properties calculated at the GGA-PBEsol level.

Structure (CIF):
```
data_Li2CaZn2
_space_group_name_H-M_alt 'I 4/m m m'
_space_group_IT_number 139
_space_group_name_Hall '-I 4 2'
_cell_length_a 4.092
_cell_length_b 4.092
_cell_length_c 12.139
_cell_angle_alpha 90.00
_cell_angle_beta 90.00
_cell_angle_gamma 90.00
loop_
_atom_site_label
_atom_site_type_symbol
_atom_site_fract_x
_atom_site_fract_y
_atom_site_fract_z
Li1 Li 0.000 0.500 0.250
Ca1 Ca 0.000 0.000 0.000
Zn1 Zn 0.000 0.000 0.397
```

Values from the calculation:
energy of formation from the pure elements	-117.3	meV/atom
raw total energy	-0.072	hartree per atom
D(E_F)	0.53	states/eV per atom